(1)
Compound: CoRePb2
Source: Alexandria
Functional: PBE-GGA
Structure: relaxed

Properties
Crystal system: monoclinic
VASP energy in eV/atom: -5.787
Magnetization in μB/atom: 0.086
Energy of formation in eV per atom: 0.96

Lattice parameters (Å, degrees): 4.7117 7.1869 3.3380 66.16 87.36 128.28
With the nearest neighbours (Å) after each atom.
Element x y z (fractional)
Re 0.5000 0.5000 0.0000  8 Pb 2.82-2.95
Pb 0.0000 0.0000 0.0000  4 Re 2.82-2.95, 4 Co 2.82-2.95
Pb 0.0000 0.5000 0.5000  4 Co 2.82-2.95, 4 Re 2.82-2.95
Co 0.5000 0.0000 0.5000  8 Pb 2.82-2.95

***

(2)
Compound: TaCo2BS
Source: Alexandria
Functional: PBE-GGA
Structure: relaxed

Properties
Crystal system: tetragonal
VASP energy in eV/atom: -5.580
Energy relative to the elements, uncorrected in eV per atom: 1.794
Magnetization in μB/atom: 0.310

Lattice parameters (Å, degrees): 4.6225 4.6444 4.6225 90.00 90.00 90.00
With the nearest neighbours (Å) after each atom.
Element x y z (fractional)
Ta 0.0000 0.0000 0.0000  4 Co 2.31, 2 S 2.32
S 0.0000 0.5000 0.0000  2 Ta 2.32
B 0.5000 0.5000 0.5000  4 S 3.27, 8 Co 3.28
Co 0.0000 0.0000 0.5000  2 Ta 2.31
Co 0.5000 0.0000 0.0000  2 Ta 2.31

***

(3)
Compound: Be2RuW
Source: Alexandria
Functional: PBE-GGA
Structure: relaxed

Properties
Crystal system: tetragonal
VASP energy in eV/atom: -7.459
Magnetization in μB/atom: 0.000
Energy of formation in eV per atom: -0.04

Lattice parameters (Å, degrees): 2.8256 2.8253 5.7655 90.00 90.00 90.00
With the nearest neighbours (Å) after each atom.
Element x y z (fractional)
W 0.5000 0.5000 0.7500  8 Be 2.59, 4 W 2.83, 2 Ru 2.88
Ru 0.5000 0.5000 0.2500  8 Be 2.35
Be 0.0000 0.0000 0.4636  4 Ru 2.35, 1 Be 2.46, 4 W 2.59
Be 0.0000 0.0000 0.0364  4 Ru 2.35, 1 Be 2.46, 4 W 2.59

***

(4)
Compound: K2TmZrSe4
Source: Alexandria
Functional: PBE-GGA
Structure: relaxed

Properties
Crystal system: monoclinic
VASP energy in eV/atom: -5.165
Energy relative to the elements, uncorrected in eV per atom: -1.521
Magnetization in μB/atom: 0.000

Lattice parameters (Å, degrees): 4.0224 7.0335 8.0595 106.63 90.00 90.00
With the nearest neighbours (Å) after each atom.
Element x y z (fractional)
K 0.5000 0.0000 0.5000  6 Se 3.29-3.30
K 0.0000 0.5000 0.5000  6 Se 3.24-3.25
Zr 0.5000 0.5000 0.0000  6 Se 2.78-2.79
Tm 0.0000 0.0000 0.0000  6 Se 2.84-2.85
Se 0.0000 0.7274 0.2025  2 Zr 2.79, 1 Tm 2.85
Se 0.5000 0.2419 0.2045  1 Zr 2.78, 2 Tm 2.84
Se 0.0000 0.2726 0.7975  2 Zr 2.79, 1 Tm 2.85
Se 0.5000 0.7581 0.7955  1 Zr 2.78, 2 Tm 2.84

***

(5)
Compound: CaPr2Dy3Bi6
Source: Alexandria
Functional: PBE-GGA
Structure: relaxed

Properties
Crystal system: monoclinic
VASP energy in eV/atom: -4.911
Magnetization in μB/atom: 0.000
Energy of formation in eV per atom: -0.86

Lattice parameters (Å, degrees): 4.5527 9.1305 10.2104 103.26 102.88 90.00
With the nearest neighbours (Å) after each atom.
Element x y z (fractional)
Bi 0.3352 0.4120 0.6704  3 Dy 3.19, 3 Pr 3.28-3.29
Bi 0.9968 0.2557 0.9936  3 Dy 3.17-3.18, 1 Pr 3.26, 2 Ca 3.27
Bi 0.6685 0.0758 0.3369  3 Dy 3.17-3.19, 1 Ca 3.26, 2 Pr 3.26
Bi 0.6648 0.5880 0.3296  3 Dy 3.19, 3 Pr 3.28-3.29
Bi 0.3315 0.9242 0.6631  3 Dy 3.17-3.19, 1 Ca 3.26, 2 Pr 3.26
Bi 0.0032 0.7443 0.0064  3 Dy 3.17-3.18, 1 Pr 3.26, 2 Ca 3.27
Pr 0.1653 0.3299 0.3306  6 Bi 3.26-3.29
Pr 0.8347 0.6701 0.6694  6 Bi 3.26-3.29
Ca 0.5000 0.0000 0.0000  6 Bi 3.26-3.27
Dy 0.1668 0.8333 0.3336  6 Bi 3.17-3.19
Dy 0.5000 0.5000 0.0000  6 Bi 3.18-3.19
Dy 0.8332 0.1667 0.6664  6 Bi 3.17-3.19

***

(6)
Compound: SiBiSN2
Source: Alexandria
Functional: PBE-GGA
Structure: relaxed

Properties
Crystal system: tetragonal
VASP energy in eV/atom: -5.531
Energy relative to the elements, uncorrected in eV per atom: 0.486
Magnetization in μB/atom: 0.105

Lattice parameters (Å, degrees): 3.7822 3.7822 4.7305 90.00 90.00 90.00
With the nearest neighbours (Å) after each atom.
Element x y z (fractional)
Si 0.0000 0.0000 0.0000  4 N 1.89
N 0.0000 0.5000 0.0000  2 Si 1.89
N 0.5000 0.0000 0.0000  2 Si 1.89
Bi 0.5000 0.5000 0.5000  4 S 2.67
S 0.0000 0.0000 0.5000  2 Si 2.37

***

(7)
Compound: CdRu2W
Source: Alexandria
Functional: PBE-GGA
Structure: relaxed

Properties
Crystal system: orthorhombic
VASP energy in eV/atom: -7.613
Magnetization in μB/atom: 0.273
Energy of formation in eV per atom: 0.49

Lattice parameters (Å, degrees): 2.7459 2.7459 9.5088 90.00 90.00 115.54
With the nearest neighbours (Å) after each atom.
Element x y z (fractional)
Ru 0.5000 0.5000 0.2487  2 W 2.65, 8 Ru 2.67-2.93
Ru 0.0000 0.0000 0.0143  8 Ru 2.67-2.93, 2 Cd 2.85
Cd 0.5000 0.5000 0.7565  6 Cd 2.75-2.93, 2 Ru 2.85, 2 W 3.01
W 0.0000 0.0000 0.4805  2 Ru 2.65, 6 W 2.75-2.93

***

(8)
Compound: NaEuInCu
Source: Alexandria
Functional: PBE-GGA
Structure: relaxed

Properties
Crystal system: cubic
VASP energy in eV/atom: -4.665
Magnetization in μB/atom: 1.784
Energy of formation in eV per atom: -0.06

Lattice parameters (Å, degrees): 5.0883 5.0883 5.0883 60.00 60.00 60.00
With the nearest neighbours (Å) after each atom.
Element x y z (fractional)
Cu 0.5000 0.5000 0.5000  4 In 3.12, 4 Eu 3.12
Na 0.0000 0.0000 0.0000  4 Eu 3.12, 4 In 3.12
Eu 0.7500 0.7500 0.7500  4 Na 3.12, 4 Cu 3.12
In 0.2500 0.2500 0.2500  4 Cu 3.12, 4 Na 3.12

***

> What is the VASP energy in the seventh record?

-7.613 eV/atom

***

> What is the magnetization in the sixth record?

0.105 μB/atom

***

> The lowest VASP energy belongs to which entry?

CdRu2W

***

> Look up the magnetization of the third one.

0.000 μB/atom